VASP calculation (PBE) on crystalline PrNd2Zn3AgHg2 at its relaxed geometry. Values from VASP.

Computed properties:
Total DFT energy (no corrections) in eV per atom: -2.7238
E_form in eV per formula unit: -3.000
Total magnetization in μB/cell: 0.04

Quantum ESPRESSO input file:
```
&SYSTEM
  ibrav = 0, nat = 9, ntyp = 5
/
ATOMIC_SPECIES
Pr 140.91 Pr.upf
Nd 144.24 Nd.upf
Zn 65.41 Zn.upf
Ag 107.87 Ag.upf
Hg 200.59 Hg.upf
CELL_PARAMETERS angstrom
4.189 0.000 0.000
0.000 6.682 3.862
0.000 -6.682 3.862
ATOMIC_POSITIONS crystal
Pr 0.000 0.000 0.000
Nd 0.000 0.190 0.595
Nd 0.000 0.595 0.190
Zn 0.500 0.356 0.356
Zn 0.500 0.594 0.834
Zn 0.500 0.834 0.594
Ag 0.000 0.594 0.594
Hg 0.500 0.263 0.928
Hg 0.500 0.928 0.263
```

VASP calculation (PBE) on crystalline Pr2NdZn3AgHg2 at its relaxed geometry. Values from VASP.

Computed properties:
Total DFT energy (no corrections) in eV per atom: -2.7224
E_form in eV per formula unit: -2.976
Total magnetization in μB/cell: 0.03

Quantum ESPRESSO input file:
```
&SYSTEM
  ibrav = 0, nat = 9, ntyp = 5
/
ATOMIC_SPECIES
Pr 140.91 Pr.upf
Nd 144.24 Nd.upf
Zn 65.41 Zn.upf
Ag 107.87 Ag.upf
Hg 200.59 Hg.upf
CELL_PARAMETERS angstrom
4.201 0.000 0.000
0.000 6.699 3.863
0.000 -6.699 3.863
ATOMIC_POSITIONS crystal
Pr 0.000 0.203 0.797
Pr 0.000 0.797 0.203
Nd 0.000 0.392 0.392
Zn 0.500 0.037 0.037
Zn 0.500 0.558 0.797
Zn 0.500 0.797 0.558
Ag 0.000 0.796 0.796
Hg 0.500 0.133 0.464
Hg 0.500 0.464 0.133
```

- Which of these has the lowest total magnetization?
  Pr2NdZn3AgHg2